Entry from Alexandria: a relaxed structure of K2BaSc (PBE).

Values from the calculation:
Calculated volume, Å³/f.u.: 206.77
Space group: I-4m2
Energy of formation from the pure elements, eV/atom: 0.539

The structure in CIF format:
```
data_K2BaSc
_symmetry_space_group_name_H-M 'P 1'
_symmetry_Int_Tables_number 1
_symmetry_space_group_name_Hall 'P 1'
_cell_length_a 6.641
_cell_length_b 6.641
_cell_length_c 6.641
_cell_angle_alpha 120.11
_cell_angle_beta 120.11
_cell_angle_gamma 89.81
loop_
_atom_site_label
_atom_site_fract_x
_atom_site_fract_y
_atom_site_fract_z
_atom_site_occupancy
Ba1 0.750 0.250 0.500 1
K1 0.250 0.750 0.500 1
K2 0.000 0.000 0.000 1
Sc1 0.500 0.500 0.000 1
```

---

Entry from Alexandria: a relaxed structure of Nb2ReHg (PBE).

Values from the calculation:
Calculated volume, Å³/f.u.: 79.05
Space group: I-42d
Energy of formation from the pure elements, eV/atom: 0.640

The structure in CIF format:
```
data_Nb2ReHg
_symmetry_space_group_name_H-M 'P 1'
_symmetry_Int_Tables_number 1
_symmetry_space_group_name_Hall 'P 1'
_cell_length_a 7.504
_cell_length_b 7.504
_cell_length_c 6.003
_cell_angle_alpha 51.32
_cell_angle_beta 51.32
_cell_angle_gamma 90.00
loop_
_atom_site_label
_atom_site_fract_x
_atom_site_fract_y
_atom_site_fract_z
_atom_site_occupancy
Nb1 0.375 0.415 0.750 1
Nb2 0.165 0.625 0.250 1
Nb3 0.585 0.125 0.250 1
Nb4 0.875 0.835 0.750 1
Hg1 0.000 0.000 0.000 1
Hg2 0.750 0.250 0.500 1
Re1 0.500 0.500 0.000 1
Re2 0.250 0.750 0.500 1
```

---

Entry from Alexandria: a relaxed structure of TbMgGe (PBE).

Values from the calculation:
Calculated volume, Å³/f.u.: 73.72
Space group: F-43m
Energy of formation from the pure elements, eV/atom: -0.475

The structure in CIF format:
```
data_TbMgGe
_symmetry_space_group_name_H-M 'P 1'
_symmetry_Int_Tables_number 1
_symmetry_space_group_name_Hall 'P 1'
_cell_length_a 4.706
_cell_length_b 4.706
_cell_length_c 4.706
_cell_angle_alpha 60.00
_cell_angle_beta 60.00
_cell_angle_gamma 60.00
loop_
_atom_site_label
_atom_site_fract_x
_atom_site_fract_y
_atom_site_fract_z
_atom_site_occupancy
Ge1 0.250 0.250 0.250 1
Tb1 0.000 0.000 0.000 1
Mg1 0.500 0.500 0.500 1
```

---

Entry from Alexandria: a relaxed structure of ZrAgIr (PBE).

Values from the calculation:
Calculated volume, Å³/f.u.: 54.31
Space group: Imm2
Energy of formation from the pure elements, eV/atom: -0.373

The structure in CIF format:
```
data_ZrAgIr
_symmetry_space_group_name_H-M 'P 1'
_symmetry_Int_Tables_number 1
_symmetry_space_group_name_Hall 'P 1'
_cell_length_a 5.142
_cell_length_b 5.142
_cell_length_c 5.142
_cell_angle_alpha 143.32
_cell_angle_beta 137.59
_cell_angle_gamma 57.30
loop_
_atom_site_label
_atom_site_fract_x
_atom_site_fract_y
_atom_site_fract_z
_atom_site_occupancy
Zr1 0.320 0.320 0.000 1
Ag1 0.002 0.002 0.000 1
Ir1 0.679 0.679 0.000 1
```

---

Entry from Alexandria: a relaxed structure of Rb4PuSc3Te8 (PBE).

Values from the calculation:
Calculated volume, Å³/f.u.: 572.82
Space group: R-3m
Formation energy (no corrections), eV per atom: -1.191

The structure in CIF format:
```
data_Rb4PuSc3Te8
_symmetry_space_group_name_H-M 'P 1'
_symmetry_Int_Tables_number 1
_symmetry_space_group_name_Hall 'P 1'
_cell_length_a 8.824
_cell_length_b 9.904
_cell_length_c 8.825
_cell_angle_alpha 116.46
_cell_angle_beta 120.00
_cell_angle_gamma 90.00
loop_
_atom_site_label
_atom_site_fract_x
_atom_site_fract_y
_atom_site_fract_z
_atom_site_occupancy
Rb1 0.500 0.000 0.500 1
Rb2 0.000 0.000 0.000 1
Rb3 0.500 0.000 0.000 1
Rb4 0.000 0.000 0.500 1
Te1 0.717 0.693 0.955 1
Te2 0.730 0.688 0.459 1
Te3 0.270 0.312 0.541 1
Te4 0.283 0.307 0.045 1
Te5 0.762 0.307 0.524 1
Te6 0.238 0.693 0.476 1
Te7 0.762 0.307 0.045 1
Te8 0.238 0.693 0.955 1
Sc1 0.500 0.500 0.000 1
Sc2 0.500 0.500 0.500 1
Sc3 0.000 0.500 0.500 1
Pu1 0.000 0.500 0.000 1
```

---

Entry from Alexandria: a relaxed structure of BaYZn2 (PBE).

Values from the calculation:
Calculated volume, Å³/f.u.: 111.69
Space group: P2/m
Energy of formation from the pure elements, eV/atom: -0.228

The structure in CIF format:
```
data_BaYZn2
_symmetry_space_group_name_H-M 'P 1'
_symmetry_Int_Tables_number 1
_symmetry_space_group_name_Hall 'P 1'
_cell_length_a 3.791
_cell_length_b 3.804
_cell_length_c 8.635
_cell_angle_alpha 63.76
_cell_angle_beta 90.00
_cell_angle_gamma 90.00
loop_
_atom_site_label
_atom_site_fract_x
_atom_site_fract_y
_atom_site_fract_z
_atom_site_occupancy
Y1 0.500 0.750 0.750 1
Zn1 0.000 0.443 0.557 1
Zn2 0.000 0.057 0.943 1
Ba1 0.500 0.250 0.250 1
```

---

Entry from Alexandria: a relaxed structure of Ho5MgIr6 (PBE).

Values from the calculation:
Calculated volume, Å³/f.u.: 229.71
Space group: Immm
Energy of formation from the pure elements, eV/atom: -0.755

The structure in CIF format:
```
data_Ho5MgIr6
_symmetry_space_group_name_H-M 'P 1'
_symmetry_Int_Tables_number 1
_symmetry_space_group_name_Hall 'P 1'
_cell_length_a 4.808
_cell_length_b 6.628
_cell_length_c 8.290
_cell_angle_alpha 113.56
_cell_angle_beta 106.86
_cell_angle_gamma 90.00
loop_
_atom_site_label
_atom_site_fract_x
_atom_site_fract_y
_atom_site_fract_z
_atom_site_occupancy
Ho1 0.332 0.332 0.664 1
Ho2 0.668 0.668 0.336 1
Ho3 0.339 0.839 0.678 1
Ho4 0.000 0.500 0.000 1
Ho5 0.661 0.161 0.322 1
Ir1 0.500 0.750 0.000 1
Ir2 0.166 0.917 0.331 1
Ir3 0.834 0.585 0.669 1
Ir4 0.834 0.083 0.669 1
Ir5 0.166 0.415 0.331 1
Ir6 0.500 0.250 0.000 1
Mg1 0.000 0.000 0.000 1
```

---

Entry from Alexandria: a relaxed structure of YSb2As (PBE).

Values from the calculation:
Calculated volume, Å³/f.u.: 150.62
Space group: I-42d
Formation energy (no corrections), eV per atom: -0.093

The structure in CIF format:
```
data_YSb2As
_symmetry_space_group_name_H-M 'P 1'
_symmetry_Int_Tables_number 1
_symmetry_space_group_name_Hall 'P 1'
_cell_length_a 6.706
_cell_length_b 6.706
_cell_length_c 8.207
_cell_angle_alpha 65.89
_cell_angle_beta 65.89
_cell_angle_gamma 90.00
loop_
_atom_site_label
_atom_site_fract_x
_atom_site_fract_y
_atom_site_fract_z
_atom_site_occupancy
Y1 0.000 0.000 0.000 1
Y2 0.750 0.250 0.500 1
As1 0.500 0.500 0.000 1
As2 0.250 0.750 0.500 1
Sb1 0.595 0.125 0.250 1
Sb2 0.875 0.845 0.750 1
Sb3 0.375 0.405 0.750 1
Sb4 0.155 0.625 0.250 1
```

---

Entry from Alexandria: a relaxed structure of Pm2Zn3Ge (PBE).

Values from the calculation:
Calculated volume, Å³/f.u.: 128.73
Space group: Fmmm
Energy of formation from the pure elements, eV/atom: -0.526

The structure in CIF format:
```
data_Pm2Zn3Ge
_symmetry_space_group_name_H-M 'P 1'
_symmetry_Int_Tables_number 1
_symmetry_space_group_name_Hall 'P 1'
_cell_length_a 5.827
_cell_length_b 5.827
_cell_length_c 8.881
_cell_angle_alpha 112.45
_cell_angle_beta 112.45
_cell_angle_gamma 80.54
loop_
_atom_site_label
_atom_site_fract_x
_atom_site_fract_y
_atom_site_fract_z
_atom_site_occupancy
Zn1 0.166 0.166 0.332 1
Zn2 0.169 0.169 0.835 1
Zn3 0.831 0.831 0.165 1
Zn4 0.834 0.834 0.668 1
Zn5 0.333 0.333 0.165 1
Zn6 0.667 0.667 0.835 1
Pm1 0.755 0.245 0.000 1
Pm2 0.245 0.755 0.000 1
Pm3 0.250 0.750 0.500 1
Pm4 0.750 0.250 0.500 1
Ge1 0.334 0.334 0.668 1
Ge2 0.666 0.666 0.332 1
```

---

Entry from Alexandria: a relaxed structure of TaBe2GePt (PBE).

Values from the calculation:
Calculated volume, Å³/f.u.: 82.94
Space group: P4/mmm
Energy of formation from the pure elements, eV/atom: 0.616

The structure in CIF format:
```
data_TaBe2GePt
_symmetry_space_group_name_H-M 'P 1'
_symmetry_Int_Tables_number 1
_symmetry_space_group_name_Hall 'P 1'
_cell_length_a 4.102
_cell_length_b 4.929
_cell_length_c 4.102
_cell_angle_alpha 90.00
_cell_angle_beta 90.00
_cell_angle_gamma 90.00
loop_
_atom_site_label
_atom_site_fract_x
_atom_site_fract_y
_atom_site_fract_z
_atom_site_occupancy
Ta1 0.500 0.500 0.500 1
Pt1 0.000 0.000 0.000 1
Be1 0.000 0.000 0.500 1
Be2 0.500 0.000 0.000 1
Ge1 0.000 0.500 0.000 1
```

---

Entry from Alexandria: a relaxed structure of CdSi4W (PBE).

Values from the calculation:
Calculated volume, Å³/f.u.: 90.28
Space group: F-43m
Formation energy (no corrections), eV per atom: 0.622

The structure in CIF format:
```
data_CdSi4W
_symmetry_space_group_name_H-M 'P 1'
_symmetry_Int_Tables_number 1
_symmetry_space_group_name_Hall 'P 1'
_cell_length_a 5.035
_cell_length_b 5.035
_cell_length_c 5.035
_cell_angle_alpha 60.00
_cell_angle_beta 60.00
_cell_angle_gamma 60.00
loop_
_atom_site_label
_atom_site_fract_x
_atom_site_fract_y
_atom_site_fract_z
_atom_site_occupancy
Si1 0.624 0.624 0.624 1
Si2 0.624 0.624 0.129 1
Si3 0.129 0.624 0.624 1
Si4 0.624 0.129 0.624 1
W1 0.250 0.250 0.250 1
Cd1 0.000 0.000 0.000 1
```

---

Entry from Alexandria: a relaxed structure of Ac2PrIr2I2 (PBE).

Values from the calculation:
Calculated volume, Å³/f.u.: 250.68
Space group: I4/mmm
Formation energy (no corrections), eV per atom: -0.699

The structure in CIF format:
```
data_Ac2PrIr2I2
_symmetry_space_group_name_H-M 'P 1'
_symmetry_Int_Tables_number 1
_symmetry_space_group_name_Hall 'P 1'
_cell_length_a 5.370
_cell_length_b 5.370
_cell_length_c 9.485
_cell_angle_alpha 106.45
_cell_angle_beta 106.45
_cell_angle_gamma 90.00
loop_
_atom_site_label
_atom_site_fract_x
_atom_site_fract_y
_atom_site_fract_z
_atom_site_occupancy
I1 0.193 0.193 0.387 1
I2 0.807 0.807 0.613 1
Ac1 0.605 0.605 0.210 1
Ac2 0.395 0.395 0.790 1
Pr1 0.000 0.000 0.000 1
Ir1 0.500 0.000 0.000 1
Ir2 0.000 0.500 0.000 1
```